No. 1
Entry from the Alexandria database: a relaxed CoAs2F2 crystal (PBEsol). Values from VASP.

```
&SYSTEM
  ibrav = 0, nat = 10, ntyp = 3
/
ATOMIC_SPECIES
As 74.92 As.upf
F 19.00 F.upf
Co 58.93 Co.upf
CELL_PARAMETERS angstrom
-2.803 -3.063 -0.110
2.114 -2.122 5.206
-3.895 3.458 2.992
ATOMIC_POSITIONS angstrom
As 0.790 -0.861 3.833
As -0.735 0.444 6.370
As -1.046 0.892 1.828
As -2.571 2.196 4.365
F -2.390 -0.694 1.794
F -3.955 0.652 4.230
F -0.629 -2.379 3.857
F -2.195 -1.034 6.293
Co -0.890 0.668 4.099
Co 0.000 0.000 0.000
```

Calculated values
Space-group type ... P4/mbm, No. 127
VASP energy ... -5.214 eV per atom
M_tot ... 2.0 Bohr magnetons per cell
Uncorrected formation energy ... -0.853 eV/atom

***

No. 2
Entry from the Alexandria database: a relaxed Li3Si2Ni2O8 crystal (PBEsol). Values from VASP.

```
&SYSTEM
  ibrav = 0, nat = 15, ntyp = 4
/
ATOMIC_SPECIES
O 16.00 O.upf
Si 28.09 Si.upf
Ni 58.69 Ni.upf
Li 6.94 Li.upf
CELL_PARAMETERS angstrom
-1.907 3.908 -2.250
-4.477 -0.529 2.731
2.442 3.717 4.455
ATOMIC_POSITIONS angstrom
O -2.916 2.203 1.940
O -2.427 3.999 -0.009
O -4.027 5.016 2.589
O -3.008 6.689 4.540
O -2.036 3.722 4.507
O -1.439 1.525 -0.231
O -1.641 6.219 2.273
O -0.416 3.149 1.579
Si -1.805 2.717 0.825
Si -1.221 2.464 5.169
Ni 1.589 3.563 4.805
Ni -3.455 3.337 3.388
Li -4.653 1.532 1.129
Li -4.248 4.459 0.660
Li 0.439 1.765 2.686
```

Calculated values
Space-group type ... P1, No. 1
VASP energy ... -6.677 eV per atom
M_tot ... 5.0 Bohr magnetons per cell
Uncorrected formation energy ... -1.897 eV/atom

***

No. 3
Entry from the Alexandria database: a relaxed LaYSc2 crystal (PBEsol). Values from VASP.

```
&SYSTEM
  ibrav = 0, nat = 4, ntyp = 3
/
ATOMIC_SPECIES
Y 88.91 Y.upf
Sc 44.96 Sc.upf
La 138.91 La.upf
CELL_PARAMETERS angstrom
3.370 0.000 -0.012
0.000 5.256 0.000
-1.662 0.000 6.351
ATOMIC_POSITIONS angstrom
Y 1.064 0.000 2.926
Sc 2.744 2.628 1.574
Sc 2.738 0.000 0.029
La -0.614 2.628 4.968
```

Calculated values
Energy relative to the elements ... 0.052 eV per atom
Space-group type ... Amm2, No. 38
VASP energy ... -6.293 eV per atom
M_tot ... 0.0 Bohr magnetons per cell